Below is crystalline CoRu2Se at its relaxed geometry, with properties calculated at the PBE level.

Unit cell a=5.0563 b=5.0563 c=5.0563 alpha=146.07 beta=130.11 gamma=61.70
Element x y z (fractional)
Co1 0.0000 0.0000 0.0000
Ru1 0.2793 0.7793 0.5000
Ru2 0.5523 0.5523 0.0000
Se1 0.7849 0.2849 0.5000

As for the formation energy without anion corrections: 333 meV/atom. The space group is No. 44. The final energy is -6.95 eV/atom. As for the crystal system: orthorhombic.

=====

Below is crystalline Pm2Nd2Sm4Y at its relaxed geometry, with properties calculated at the PBE level.

Unit cell a=9.7028 b=9.7028 c=9.7763 alpha=115.17 beta=115.17 gamma=21.81
Element x y z (fractional)
Pm1 0.1477 0.1477 0.1663
Pm2 0.8523 0.8523 0.8337
Nd1 0.3341 0.3341 0.5002
Nd2 0.6659 0.6659 0.4998
Sm1 0.1851 0.1851 0.8334
Sm2 0.4814 0.4814 0.1678
Sm3 0.5186 0.5186 0.8322
Sm4 0.8149 0.8149 0.1666
Y1 0.0000 0.0000 0.5000

The space group is No. 12. The calculated formation energy comes out at 0.009 eV per atom. The final energy is -4.92 eV/atom. As for the crystal system: monoclinic.

=====

Below is crystalline Hf2TeC at its relaxed geometry, with properties calculated at the PBE level.

Unit cell a=6.9545 b=6.9545 c=6.9545 alpha=29.39 beta=29.39 gamma=29.39
Element x y z (fractional)
Hf1 0.2234 0.2234 0.2234
Hf2 0.7766 0.7766 0.7766
Te1 0.0000 0.0000 0.0000
C1 0.5000 0.5000 0.5000

As for the formation energy without anion corrections: -777 meV/atom. The space group is No. 166. The final energy is -8.85 eV/atom. As for the crystal system: trigonal.

=====

Below is crystalline Pr12In6Co at its relaxed geometry, with properties calculated at the PBE level.

Unit cell a=8.5594 b=8.5594 c=8.5594 alpha=94.37 beta=94.37 gamma=94.37
Element x y z (fractional)
Pr1 0.0183 0.9162 0.6846
Pr2 0.0838 0.3154 0.9817
Pr3 0.1967 0.4276 0.5416
Pr4 0.3154 0.9817 0.0838
Pr5 0.4276 0.5416 0.1967
Pr6 0.4584 0.8033 0.5724
Pr7 0.5416 0.1967 0.4276
Pr8 0.5724 0.4584 0.8033
Pr9 0.6846 0.0183 0.9162
Pr10 0.8033 0.5724 0.4584
Pr11 0.9162 0.6846 0.0183
Pr12 0.9817 0.0838 0.3154
In1 0.1422 0.7358 0.3404
In2 0.2642 0.6596 0.8578
In3 0.3404 0.1422 0.7358
In4 0.6596 0.8578 0.2642
In5 0.7358 0.3404 0.1422
In6 0.8578 0.2642 0.6596
Co1 0.0000 0.0000 0.0000

The space group is No. 148. The calculated formation energy comes out at -0.203 eV per atom. The final energy is -4.46 eV/atom. As for the crystal system: trigonal.

=====

Below is crystalline Be2AlTe4 at its relaxed geometry, with properties calculated at the PBE level.

Unit cell a=7.9560 b=7.9560 c=7.9560 alpha=139.13 beta=139.13 gamma=59.18
Element x y z (fractional)
Be1 0.0000 0.5000 0.5000
Be2 0.5000 0.0000 0.5000
Al1 0.0000 0.0000 0.0000
Te1 0.1537 0.1537 0.5329
Te2 0.3792 0.8463 0.0000
Te3 0.6208 0.6208 0.4671
Te4 0.8463 0.3792 0.0000

As for the formation energy without anion corrections: -208 meV/atom. The space group is No. 121. The final energy is -3.60 eV/atom. As for the crystal system: tetragonal.

=====

Below is crystalline NaSi at its relaxed geometry, with properties calculated at the PBE level.

Unit cell a=3.8642 b=3.8642 c=8.3371 alpha=103.32 beta=103.32 gamma=60.01
Element x y z (fractional)
Na1 0.1021 0.1021 0.3060
Na2 0.8979 0.8979 0.6940
Si1 0.3168 0.3168 0.9502
Si2 0.6832 0.6832 0.0498

As for the formation energy without anion corrections: 18 meV/atom. The space group is No. 12. The value obtained for the energy above the lowest structure with this stoichiometry is 32 meV per atom. The final energy is -3.35 eV/atom. As for the crystal system: monoclinic.

=====

Below is crystalline Co2SiCl at its relaxed geometry, with properties calculated at the PBE level.

Unit cell a=4.1248 b=4.1248 c=4.1248 alpha=60.00 beta=60.00 gamma=60.00
Element x y z (fractional)
Co1 0.2500 0.2500 0.2500
Co2 0.7500 0.7500 0.7500
Si1 0.0000 0.0000 0.0000
Cl1 0.5000 0.5000 0.5000

As for the formation energy without anion corrections: 440 meV/atom. The space group is No. 225. The value obtained for the energy above the lowest structure with this stoichiometry is 568 meV per atom. The final energy is -4.93 eV/atom. As for the crystal system: cubic.

=====

Below is crystalline CaLaTl at its relaxed geometry, with properties calculated at the PBE level.

Unit cell a=9.1614 b=9.1614 c=5.5295 alpha=90.03 beta=90.03 gamma=25.18
Element x y z (fractional)
Ca1 0.0750 0.0750 0.2507
Ca2 0.9250 0.9250 0.7493
La1 0.2280 0.2280 0.7508
La2 0.7720 0.7720 0.2492
Tl1 0.4199 0.4199 0.2489
Tl2 0.5801 0.5801 0.7511

The space group is No. 12. The value obtained for the energy above the lowest structure with this stoichiometry is 122 meV per atom. The calculated formation energy comes out at -0.276 eV per atom. The final energy is -3.37 eV/atom. As for the crystal system: monoclinic.

=====

Below is crystalline PrSc7Al4 at its relaxed geometry, with properties calculated at the PBE level.

Unit cell a=7.0250 b=7.0250 c=9.9803 alpha=121.99 beta=121.99 gamma=43.24
Element x y z (fractional)
Pr1 0.0000 0.0000 0.0000
Sc1 0.0632 0.0632 0.3891
Sc2 0.2164 0.2164 0.8734
Sc3 0.3111 0.3111 0.3725
Sc4 0.5000 0.5000 0.0000
Sc5 0.6889 0.6889 0.6275
Sc6 0.7836 0.7836 0.1266
Sc7 0.9368 0.9368 0.6109
Al1 0.3184 0.3184 0.6691
Al2 0.4395 0.4395 0.2291
Al3 0.5605 0.5605 0.7709
Al4 0.6816 0.6816 0.3309

The space group is No. 12. The calculated formation energy comes out at -0.085 eV per atom. The final energy is -5.42 eV/atom. As for the crystal system: monoclinic.

=====

Below is crystalline Cd2Ga2Sn at its relaxed geometry, with properties calculated at the PBE level.

Unit cell a=8.4645 b=8.4645 c=3.2025 alpha=90.00 beta=90.00 gamma=90.00
Element x y z (fractional)
Cd1 0.1441 0.3559 0.0000
Cd2 0.3559 0.8559 0.0000
Cd3 0.6441 0.1441 0.0000
Cd4 0.8559 0.6441 0.0000
Ga1 0.1537 0.6537 0.5000
Ga2 0.3463 0.1537 0.5000
Ga3 0.6537 0.8463 0.5000
Ga4 0.8463 0.3463 0.5000
Sn1 0.0000 0.0000 0.0000
Sn2 0.5000 0.5000 0.0000

The space group is No. 127. The value obtained for the energy above the lowest structure with this stoichiometry is 34 meV per atom. The calculated formation energy comes out at 0.085 eV per atom. The final energy is -2.29 eV/atom. As for the crystal system: tetragonal.

=====

Below is crystalline Ca2ScUAs4 at its relaxed geometry, with properties calculated at the PBE level.

Unit cell a=7.0286 b=4.1216 c=7.1899 alpha=90.00 beta=108.98 gamma=90.00
Element x y z (fractional)
Ca1 0.0000 0.0000 0.0000
Ca2 0.5000 0.5000 0.0000
Sc1 0.0000 0.5000 0.5000
U1 0.5000 0.0000 0.5000
As1 0.2423 0.0000 0.7235
As2 0.2555 0.5000 0.2736
As3 0.7445 0.5000 0.7264
As4 0.7577 0.0000 0.2765

The space group is No. 10. The calculated formation energy comes out at -1.110 eV per atom. The final energy is -6.14 eV/atom. As for the crystal system: monoclinic.

=====

Below is crystalline TmAl2Se4 at its relaxed geometry, with properties calculated at the PBE level.

Unit cell a=6.3591 b=6.3591 c=6.3591 alpha=104.63 beta=104.63 gamma=119.65
Element x y z (fractional)
Tm1 0.0000 0.0000 0.0000
Al1 0.2500 0.7500 0.5000
Al2 0.7500 0.2500 0.5000
Se1 0.1653 0.6685 0.8338
Se2 0.3315 0.1653 0.4968
Se3 0.6685 0.8347 0.5032
Se4 0.8347 0.3315 0.1662

As for the formation energy without anion corrections: -886 meV/atom. The space group is No. 87. The final energy is -4.58 eV/atom. As for the crystal system: tetragonal.

=====

Below is crystalline BaScSn2Bi at its relaxed geometry, with properties calculated at the PBE level.

Unit cell a=6.0120 b=6.0120 c=6.1402 alpha=90.00 beta=90.00 gamma=90.00
Element x y z (fractional)
Ba1 0.0000 0.0000 0.0000
Sc1 0.5000 0.5000 0.5000
Sn1 0.0000 0.5000 0.0000
Sn2 0.5000 0.0000 0.0000
Bi1 0.0000 0.0000 0.5000

The space group is No. 123. The calculated formation energy comes out at 0.982 eV per atom. The final energy is -3.05 eV/atom. As for the crystal system: tetragonal.

=====

Below is crystalline Ho4Te2AsSe at its relaxed geometry, with properties calculated at the PBE level.

Unit cell a=7.2093 b=4.1747 c=7.4307 alpha=90.00 beta=108.95 gamma=90.00
Element x y z (fractional)
Ho1 0.2332 0.0000 0.2150
Ho2 0.2568 0.5000 0.7847
Ho3 0.7432 0.5000 0.2153
Ho4 0.7668 0.0000 0.7850
Te1 0.0000 0.0000 0.5000
Te2 0.5000 0.5000 0.5000
As1 0.0000 0.5000 0.0000
Se1 0.5000 0.0000 0.0000

As for the formation energy without anion corrections: -1498 meV/atom. The space group is No. 10. The final energy is -5.59 eV/atom. As for the crystal system: monoclinic.

=====

Below is crystalline KAg2F6 at its relaxed geometry, with properties calculated at the PBE level.

Unit cell a=6.0323 b=6.0323 c=5.0913 alpha=90.00 beta=90.00 gamma=120.00
Element x y z (fractional)
K1 0.0000 0.0000 0.0000
Ag1 0.3333 0.6667 0.5000
Ag2 0.6667 0.3333 0.5000
F1 0.0000 0.3728 0.7054
F2 0.0000 0.6272 0.2946
F3 0.3728 0.0000 0.7054
F4 0.3728 0.3728 0.2946
F5 0.6272 0.0000 0.2946
F6 0.6272 0.6272 0.7054

As for the formation energy without anion corrections: -1455 meV/atom. The space group is No. 162. The value obtained for the energy above the lowest structure with this stoichiometry is 78 meV per atom. The final energy is -3.46 eV/atom. As for the crystal system: trigonal.

=====

Below is crystalline Ba6Cd2S at its relaxed geometry, with properties calculated at the PBE level.

Unit cell a=8.0018 b=9.0132 c=14.2529 alpha=90.00 beta=123.38 gamma=90.00
Element x y z (fractional)
Ba1 0.1153 0.1815 0.4385
Ba2 0.1153 0.3185 0.9385
Ba3 0.2769 0.6901 0.4405
Ba4 0.2769 0.8099 0.9405
Ba5 0.3768 0.0326 0.2519
Ba6 0.3768 0.4674 0.7519
Ba7 0.6232 0.5326 0.2481
Ba8 0.6232 0.9674 0.7481
Ba9 0.7231 0.1901 0.0595
Ba10 0.7231 0.3099 0.5595
Ba11 0.8847 0.6815 0.0615
Ba12 0.8847 0.8185 0.5615
Cd1 0.2022 0.1040 0.7489
Cd2 0.2022 0.3960 0.2489
Cd3 0.7978 0.6040 0.7511
Cd4 0.7978 0.8960 0.2511
S1 0.5000 0.0000 0.5000
S2 0.5000 0.5000 0.0000

As for the formation energy without anion corrections: -559 meV/atom. The space group is No. 14. The final energy is -2.50 eV/atom. As for the crystal system: monoclinic.

=====

Below is crystalline VW2S2 at its relaxed geometry, with properties calculated at the PBE level.

Unit cell a=6.6919 b=6.6919 c=3.1273 alpha=90.00 beta=90.00 gamma=90.00
Element x y z (fractional)
V1 0.0000 0.0000 0.0000
V2 0.5000 0.5000 0.0000
W1 0.1469 0.3531 0.5000
W2 0.3531 0.8531 0.5000
W3 0.6469 0.1469 0.5000
W4 0.8531 0.6469 0.5000
S1 0.1601 0.6601 0.0000
S2 0.3399 0.1601 0.0000
S3 0.6601 0.8399 0.0000
S4 0.8399 0.3399 0.0000

As for the formation energy without anion corrections: 233 meV/atom. The space group is No. 127. The value obtained for the energy above the lowest structure with this stoichiometry is 0 meV per atom. The final energy is -8.42 eV/atom. As for the crystal system: tetragonal.

=====

Below is crystalline Zr4N3O at its relaxed geometry, with properties calculated at the PBE level.

Unit cell a=4.6186 b=4.6186 c=4.6186 alpha=90.00 beta=90.00 gamma=90.00
Element x y z (fractional)
Zr1 0.0000 0.0000 0.0000
Zr2 0.0000 0.5000 0.5000
Zr3 0.5000 0.0000 0.5000
Zr4 0.5000 0.5000 0.0000
N1 0.0000 0.0000 0.5000
N2 0.0000 0.5000 0.0000
N3 0.5000 0.0000 0.0000
O1 0.5000 0.5000 0.5000

As for the formation energy without anion corrections: -1808 meV/atom. The space group is No. 221. The value obtained for the energy above the lowest structure with this stoichiometry is 57 meV per atom. The final energy is -9.82 eV/atom. As for the crystal system: cubic.

=====

Below is crystalline Cr2SiCl at its relaxed geometry, with properties calculated at the PBE level.

Unit cell a=3.8773 b=3.8773 c=7.4495 alpha=115.33 beta=115.33 gamma=46.48
Element x y z (fractional)
Cr1 0.1121 0.1121 0.3079
Cr2 0.8879 0.8879 0.6921
Si1 0.5000 0.5000 0.5000
Cl1 0.5000 0.5000 0.0000

As for the formation energy without anion corrections: 82 meV/atom. The space group is No. 12. The value obtained for the energy above the lowest structure with this stoichiometry is 74 meV per atom. The final energy is -6.55 eV/atom. As for the crystal system: monoclinic.

=====

Below is crystalline Li2SiBSbO7 at its relaxed geometry, with properties calculated at the PBE level.

Unit cell a=5.1892 b=6.4504 c=9.2334 alpha=90.00 beta=93.72 gamma=90.00
Element x y z (fractional)
Li1 0.2447 0.0173 0.3310
Li2 0.2447 0.4827 0.3310
Li3 0.7553 0.5173 0.6690
Li4 0.7553 0.9827 0.6690
Si1 0.2726 0.2500 0.9307
Si2 0.7274 0.7500 0.0693
B1 0.2582 0.7500 0.5666
B2 0.7418 0.2500 0.4334
Sb1 0.2105 0.7500 0.8394
Sb2 0.7895 0.2500 0.1606
O1 0.0203 0.7500 0.6372
O2 0.1377 0.2500 0.0860
O3 0.1899 0.0540 0.8263
O4 0.1899 0.4460 0.8263
O5 0.2871 0.7500 0.4256
O6 0.4128 0.7500 0.0272
O7 0.4671 0.7500 0.6790
O8 0.5329 0.2500 0.3210
O9 0.5872 0.2500 0.9728
O10 0.7129 0.2500 0.5744
O11 0.8101 0.5540 0.1737
O12 0.8101 0.9460 0.1737
O13 0.8623 0.7500 0.9140
O14 0.9797 0.2500 0.3628

As for the formation energy without anion corrections: -2122 meV/atom. The space group is No. 11. The final energy is -6.69 eV/atom. As for the crystal system: monoclinic.